# 1
# Ac6Si2PI3

Crystalline Ac6Si2PI3 at its relaxed geometry (PBE, the Alexandria database).

Cell lengths 7.8607, 13.6137, 8.5931 Å; angles 90.00, 107.75, 90.00 degrees
Closest atoms and distances in Å follow each position.
Space group C2/m (No. 12)
One atom of each set of equivalent atoms:
Ac (0.2310, 0.1655, 0.1968)  1 P 3.06, 2 Si 3.08-3.09
Ac (0.2349, 0.5000, 0.1973)  1 P 3.06, 2 Si 3.08
Si (0.0000, 0.3336, 0.0000)  6 Ac 3.08-3.09
P (0.0000, 0.0000, 0.0000)  6 Ac 3.06
I (0.0000, 0.1685, 0.5000)  6 Ac 3.60-3.61
I (0.0000, 0.5000, 0.5000)  6 Ac 3.60-3.62

Properties
Formation energy (no corrections): -1067 meV/atom
Raw total energy: -4.863 eV/atom



# 2
# Ac4ZnPI2

Crystalline Ac4ZnPI2 at its relaxed geometry (PBE, the Alexandria database).

Cell lengths 7.9039, 4.4469, 8.6690 Å; angles 90.00, 107.41, 90.00 degrees
Closest atoms and distances in Å follow each position.
Space group P2/m (No. 10)
One atom of each set of equivalent atoms:
Ac (0.2233, 0.0000, 0.1986)  2 P 3.03, 1 Zn 3.16
Ac (0.2601, 0.5000, 0.7972)  1 P 3.08, 2 Zn 3.10
Zn (0.5000, 0.0000, 0.0000)  6 Ac 3.10-3.16
P (0.0000, 0.5000, 0.0000)  6 Ac 3.03-3.08
I (0.0000, 0.0000, 0.5000)  6 Ac 3.56
I (0.5000, 0.5000, 0.5000)  6 Ac 3.62-3.63

Properties
Formation energy (no corrections): -943 meV/atom
Raw total energy: -4.220 eV/atom



# 3
# AcPaI6

Crystalline AcPaI6 at its relaxed geometry (PBE, the Alexandria database).

Cell lengths 7.8954, 14.5259, 7.8686 Å; angles 90.00, 108.33, 90.00 degrees
Closest atoms and distances in Å follow each position.
Space group C2/m (No. 12)
One atom of each set of equivalent atoms:
Ac (0.0000, 0.0000, 0.0000)  6 I 3.27-3.29
Pa (0.0000, 0.5000, 0.5000)  6 I 3.12-3.14
I (0.2359, 0.3461, 0.7411)  1 Pa 3.14, 1 Ac 3.29
I (0.2470, 0.5000, 0.2588)  1 Pa 3.12, 1 Ac 3.27

Properties
Formation energy (no corrections): -1124 meV/atom
Raw total energy: -3.987 eV/atom



Question: The lowest formation energy (no corrections) belongs to which entry?
Answer: AcPaI6



Question: The lowest raw total energy belongs to which entry?
Answer: Ac6Si2PI3



Question: Which formula does entry 3 have?
Answer: AcPaI6



Question: Look up the formation energy (no corrections) of the third one.
Answer: -1124 meV/atom